MgZn2HPd: optimized geometry, PBE.

Calculated values
Calculated total energy = -2.628 eV per atom
DOS at the Fermi energy = 1.20 states/eV/cell
Magnetic moment = 0.00 μB/cell

Lattice parameters (Å, degrees): 4.203 4.203 3.755 90.00 90.00 90.00
Space group P4/mmm (No. 123)
Symmetry-distinct sites (fractional):
Mg 0.000 0.000 0.000 x1
Zn 0.000 0.500 0.500 x2
H 0.500 0.500 0.500 x1
Pd 0.500 0.500 0.000 x1


SrPr2Cd8: optimized geometry, PBE.

Calculated values
Formation enthalpy at 0 K = -299.3 meV per atom
DOS at the Fermi energy = 11.65 states/eV/cell
Magnetic moment = 0.00 μB/cell

Lattice parameters (Å, degrees): 5.447 6.596 16.432 90.00 90.00 90.00
Space group Immm (No. 71)
Symmetry-distinct sites (fractional):
Sr 0.000 0.000 0.000 x2
Pr 0.000 0.500 0.191 x4
Cd 0.000 0.000 0.203 x4
Cd 0.000 0.269 0.369 x8
Cd 0.250 0.000 0.500 x4


ZnRhAu2: optimized geometry, PBE.

Calculated values
Formation enthalpy at 0 K = -23.5 meV per atom
DOS at the Fermi energy = 3.94 states/eV/cell
Magnetic moment = 0.00 μB/cell

Lattice parameters (Å, degrees): 2.982 4.764 9.180 90.00 90.00 90.00
Space group Cmm2 (No. 35)
Symmetry-distinct sites (fractional):
Zn 0.000 0.000 0.000 x2
Rh 0.000 0.500 0.219 x2
Au 0.000 0.000 0.478 x2
Au 0.000 0.500 0.755 x2


Ba3BeCr: optimized geometry, PBE.

Calculated values
Formation enthalpy at 0 K = 765.9 meV per atom
DOS at the Fermi energy = 3.84 states/eV/cell
Magnetic moment = 4.68 μB/cell

Lattice parameters (Å, degrees): 6.198 6.198 6.198 90.00 90.00 90.00
Space group Pm-3m (No. 221)
Symmetry-distinct sites (fractional):
Ba 0.000 0.000 0.500 x3
Be 0.000 0.000 0.000 x1
Cr 0.500 0.500 0.500 x1


CaAl2Au8: optimized geometry, PBE.

Calculated values
Formation enthalpy at 0 K = -376.6 meV per atom
DOS at the Fermi energy = 6.96 states/eV/cell
Magnetic moment = 0.00 μB/cell

Lattice parameters (Å, degrees): 14.248 4.235 7.699 90.00 116.46 90.00
Space group C2/m (No. 12)
Symmetry-distinct sites (fractional):
Ca 0.000 0.000 0.000 x2
Al 0.221 0.500 0.704 x4
Au 0.041 0.500 0.730 x4
Au 0.100 0.000 0.474 x4
Au 0.168 0.500 0.303 x4
Au 0.186 0.000 0.897 x4


YGaFe3: optimized geometry, PBE.

Calculated values
Formation enthalpy at 0 K = 1757.4 meV per atom
DOS at the Fermi energy = 4.78 states/eV/cell
Magnetic moment = 6.32 μB/cell

Lattice parameters (Å, degrees): 4.610 4.610 4.610 90.00 90.00 90.00
Space group Pm-3m (No. 221)
Symmetry-distinct sites (fractional):
Y 0.000 0.000 0.000 x1
Ga 0.500 0.500 0.500 x1
Fe 0.000 0.000 0.500 x3


- Among the records above, which one has the highest magnetic moment?
  YGaFe3


- Among the records above, which one has the highest magnetic moment?
  YGaFe3


- Number 6 is which compound?
  YGaFe3